La3TiCl5O4 after structural relaxation. Source: Alexandria via LeMat-Bulk, functional PBE-GGA.

Computed properties:
uncorrected formation energy	-2.90	eV per atom
magnetic moment	0.0	μB per cell

a b c (Å): 4.0784 14.8453 16.9542
angles (deg): 90.00 90.00 90.00
Last column: nearest neighbours and their distance in Å.
Positions (direct):
La 0.7500 0.5864 0.3795  2 O 2.29
La 0.2500 0.2372 0.8698  2 O 2.27
La 0.7500 0.7372 0.6302  2 O 2.27
La 0.2500 0.5766 0.8788  2 O 2.30
La 0.7500 0.0766 0.6212  2 O 2.30
La 0.2500 0.0864 0.1205  2 O 2.29
La 0.2500 0.4136 0.6205  2 O 2.29
La 0.7500 0.7628 0.1302  2 O 2.27
La 0.7500 0.4234 0.1212  2 O 2.30
La 0.2500 0.9234 0.3788  2 O 2.30
La 0.2500 0.2628 0.3698  2 O 2.27
La 0.7500 0.9136 0.8795  2 O 2.29
Cl 0.7500 0.4013 0.2979  4 La 3.01-3.14, 2 O 3.08-3.24, 2 Cl 3.29
Cl 0.2500 0.2778 0.1779  4 La 3.00-3.26, 2 O 3.11-3.33
Cl 0.2500 0.0973 0.4846  2 O 3.10-3.28, 4 La 3.10-3.14
Cl 0.7500 0.0987 0.7979  4 La 3.01-3.14, 2 O 3.08-3.24, 2 Cl 3.29
Cl 0.7500 0.9027 0.5154  2 O 3.10-3.28, 4 La 3.10-3.14
Cl 0.2500 0.5987 0.7021  4 La 3.01-3.14, 2 O 3.08-3.24, 2 Cl 3.29
Cl 0.7500 0.5547 0.5550  4 La 2.99-3.13, 1 O 3.06, 4 Cl 3.21-3.29
Cl 0.2500 0.0547 0.9450  4 La 2.99-3.13, 1 O 3.06, 4 Cl 3.21-3.29
Cl 0.2500 0.7126 0.4804  2 O 3.22-3.28, 5 La 3.26-3.57, 6 Cl 3.36-3.53
Cl 0.7500 0.7778 0.3221  4 La 3.00-3.26, 2 O 3.11-3.33
Cl 0.2500 0.2222 0.6779  4 La 3.00-3.26, 2 O 3.11-3.33
Cl 0.2500 0.4027 0.9846  2 O 3.10-3.28, 4 La 3.10-3.14
Cl 0.2500 0.9013 0.2021  4 La 3.01-3.14, 2 O 3.08-3.24, 2 Cl 3.29
Cl 0.7500 0.9453 0.0550  4 La 2.99-3.13, 1 O 3.06, 4 Cl 3.21-3.29
Cl 0.2500 0.7874 0.9804  2 O 3.22-3.28, 5 La 3.26-3.57, 6 Cl 3.36-3.53
Cl 0.2500 0.4453 0.4450  4 La 2.99-3.13, 1 O 3.06, 4 Cl 3.21-3.29
Cl 0.7500 0.2126 0.0196  2 O 3.22-3.28, 5 La 3.26-3.57, 6 Cl 3.36-3.53
Cl 0.7500 0.5973 0.0154  2 O 3.10-3.28, 4 La 3.10-3.14
Cl 0.7500 0.7222 0.8221  4 La 3.00-3.26, 2 O 3.11-3.33
Cl 0.7500 0.2874 0.5196  2 O 3.22-3.28, 5 La 3.26-3.57, 6 Cl 3.36-3.53
O 0.2500 0.4054 0.7913  2 Ti 2.04
O 0.2500 0.7011 0.1549  1 Ti 1.86
O 0.2500 0.5924 0.3182  1 Ti 1.85
O 0.7500 0.4076 0.6818  1 Ti 1.85
O 0.7500 0.2989 0.8451  1 Ti 1.86
O 0.7500 0.5946 0.2087  2 Ti 2.04
O 0.2500 0.0946 0.2913  2 Ti 2.04
O 0.7500 0.5145 0.8475  1 Ti 1.85
O 0.7500 0.9054 0.7087  2 Ti 2.04
O 0.2500 0.9076 0.8182  1 Ti 1.85
O 0.7500 0.0924 0.1818  1 Ti 1.85
O 0.7500 0.2011 0.3451  1 Ti 1.86
O 0.2500 0.7989 0.6549  1 Ti 1.86
O 0.2500 0.0145 0.6525  1 Ti 1.85
O 0.7500 0.9855 0.3475  1 Ti 1.85
O 0.2500 0.4855 0.1525  1 Ti 1.85
Ti 0.7500 0.0924 0.2912  5 O 1.85-2.04
Ti 0.2500 0.9076 0.7088  5 O 1.85-2.04
Ti 0.2500 0.5924 0.2088  5 O 1.85-2.04
Ti 0.7500 0.4076 0.7912  5 O 1.85-2.04